The following is a meta-GGA SCAN calculation of a PBEsol-optimized structure of RuWIO2, from the Alexandria database.

Lattice parameters (Å, degrees): 3.774 3.774 6.202 90.00 90.00 90.00
Space group P4/mmm (No. 123)
One atom of each set of equivalent atoms:
Ru  0.000  0.000  0.000 x1
W  0.500  0.500  0.500 x1
I  0.000  0.000  0.500 x1
O  0.000  0.500  0.000 x2

Results
- E above lowest polymorph (kcal/mol of atoms) = 24.11
- ΔE_f (raw) (meV/atom) = 702